No. 1
First-principles (meta-GGA SCAN) data for a PBEsol-optimized structure of TlHg2BBr, as listed in Alexandria via LeMat-Bulk.

Lattice parameters (Å, degrees): 4.5150 4.5150 5.5588 90.00 90.00 90.00
With the nearest neighbours (Å) after each atom.
Space group P4/mmm (No. 123)
Asymmetric unit:
Tl 0.0000 0.0000 0.0000 (multiplicity 1)  2 B 2.78
Hg 0.0000 0.5000 0.5000 (multiplicity 2)  2 B 2.26
B 0.0000 0.0000 0.5000 (multiplicity 1)  4 Hg 2.26
Br 0.5000 0.5000 0.0000 (multiplicity 1)  4 Tl 3.19

## Properties
Total energy: -47.0392 eV per atom
Formation energy (no corrections): 0.077 eV per atom
Total magnetic moment: 0.000 μB/f.u.

No. 2
First-principles (meta-GGA SCAN) data for a PBEsol-optimized structure of BI2BrN, as listed in Alexandria via LeMat-Bulk.

Lattice parameters (Å, degrees): 7.4819 7.4819 2.7002 90.00 90.00 90.00
With the nearest neighbours (Å) after each atom.
Space group P4/mmm (No. 123)
Asymmetric unit:
B 0.0000 0.0000 0.0000 (multiplicity 1)  2 N 1.35
I 0.0000 0.5000 0.0000 (multiplicity 2)  2 I 2.70
Br 0.5000 0.5000 0.5000 (multiplicity 1)  2 Br 2.70
N 0.0000 0.0000 0.5000 (multiplicity 1)  2 B 1.35

## Properties
Total energy: -21.9758 eV per atom
Formation energy (no corrections): -0.043 eV per atom
Total magnetic moment: 0.430 μB/f.u.

No. 3
First-principles (meta-GGA SCAN) data for a PBEsol-optimized structure of BIBrN2, as listed in Alexandria via LeMat-Bulk.

Lattice parameters (Å, degrees): 3.6315 3.6315 6.1561 90.00 90.00 90.00
With the nearest neighbours (Å) after each atom.
Space group P4/mmm (No. 123)
Asymmetric unit:
B 0.0000 0.0000 0.0000 (multiplicity 1)  4 N 1.82
I 0.0000 0.0000 0.5000 (multiplicity 1)  4 Br 2.57
Br 0.5000 0.5000 0.5000 (multiplicity 1)  4 I 2.57
N 0.0000 0.5000 0.0000 (multiplicity 2)  2 B 1.82

## Properties
Total energy: -14.4352 eV per atom
Formation energy (no corrections): 2.007 eV per atom
Total magnetic moment: 2.485 μB/f.u.